The following is a DFT calculation (GGA-PBEsol) of a geometry-optimized ScRe2Ag structure.

The structure in POSCAR format:
```
ScRe2Ag
1.0
3.419 0.000 0.000
0.000 3.419 0.000
0.000 0.000 5.576
Re Sc Ag
2 1 1
direct
0.000 0.000 0.227
0.000 0.000 0.773
0.500 0.500 0.000
0.500 0.500 0.500
```

Summary:
total magnetization = 0.001 μB/f.u.
formation enthalpy at 0 K = 0.6355 eV/atom
space group = P4/mmm
D(E_F) = 0.96 states/eV per atom
energy above the most stable polymorph in this dataset = 285 meV per atom
total DFT energy (no corrections) = -8.510 eV/atom